RbCePrI6 | PBE | optimized geometry

The calculation puts the uncorrected formation energy at -1362 meV/atom. Its volume is 955.17 Å³/cell. Its energy is -3.693 eV/atom. As for the magnetization: 2.0 μB per formula unit.

abc: 8.0275 8.0275 17.1155
angles: 90.00 90.00 120.00
Closest atoms and distances in Å follow each position.
Positions (direct):
Rb: 0.0000 0.0000 0.0000  6 I 3.73
Rb: 0.0000 0.0000 0.5000  6 I 3.73
Ce: 0.3333 0.6667 0.2500  6 I 3.21
Ce: 0.6667 0.3333 0.7500  6 I 3.21
Pr: 0.3333 0.6667 0.7500  6 I 3.19
Pr: 0.6667 0.3333 0.2500  6 I 3.19
I: 0.0022 0.3593 0.6392  1 Pr 3.19, 1 Ce 3.21
I: 0.0022 0.6429 0.8608  1 Pr 3.19, 1 Ce 3.21
I: 0.3571 0.3593 0.8608  1 Pr 3.19, 1 Ce 3.21
I: 0.3571 0.9978 0.6392  1 Pr 3.19, 1 Ce 3.21
I: 0.3593 0.0022 0.1392  1 Pr 3.19, 1 Ce 3.21
I: 0.3593 0.3571 0.3608  1 Pr 3.19, 1 Ce 3.21
I: 0.6407 0.6429 0.6392  1 Pr 3.19, 1 Ce 3.21
I: 0.6407 0.9978 0.8608  1 Pr 3.19, 1 Ce 3.21
I: 0.6429 0.0022 0.3608  1 Pr 3.19, 1 Ce 3.21
I: 0.6429 0.6407 0.1392  1 Pr 3.19, 1 Ce 3.21
I: 0.9978 0.3571 0.1392  1 Pr 3.19, 1 Ce 3.21
I: 0.9978 0.6407 0.3608  1 Pr 3.19, 1 Ce 3.21